1.
A geometry-optimized BaGa2Au structure, computed with PBE.

## Properties
* spin magnetization: 0.000 μB per formula unit
* crystal system: orthorhombic
* formation energy from the elements: -466 meV per atom
* E: -3.280 eV/atom
* Fermi-level density of states: 1.6 states/eV/f.u.

Unit cell a=7.521 b=4.288 c=12.657 alpha=90.00 beta=90.00 gamma=90.00
Space group Amm2 (No. 38)
Unique sites:
1 Ba 0.000 0.000 0.000 x2
2 Ba 0.500 0.000 0.092 x2
3 Ga 0.000 0.000 0.273 x2
4 Ga 0.315 0.000 0.383 x4
5 Ga 0.500 0.000 0.807 x2
6 Au 0.194 0.000 0.710 x4



2.
A geometry-optimized Cu2MoHPt structure, computed with PBE.

## Properties
* spin magnetization: 0.000 μB per formula unit
* crystal system: tetragonal
* E: -5.514 eV/atom
* Fermi-level density of states: 5.7 states/eV/f.u.

Unit cell a=3.862 b=3.862 c=3.935 alpha=90.00 beta=90.00 gamma=90.00
Space group P4/mmm (No. 123)
Unique sites:
1 Cu 0.000 0.500 0.000 x2
2 Mo 0.000 0.000 0.500 x1
3 H 0.000 0.000 0.000 x1
4 Pt 0.500 0.500 0.500 x1



3.
A geometry-optimized La2Pm4NdTm structure, computed with PBE.

## Properties
* spin magnetization: 0.002 μB per formula unit
* crystal system: monoclinic
* formation energy from the elements: 362 meV per atom
* E: -4.400 eV/atom
* Fermi-level density of states: 19.4 states/eV/f.u.

Unit cell a=13.832 b=13.492 c=6.929 alpha=90.00 beta=119.74 gamma=90.00
Space group C2/c (No. 15)
Unique sites:
1 La 0.000 0.000 0.000 x4
2 La 0.250 0.250 0.000 x4
3 Pm 0.001 0.258 0.002 x8
4 Pm 0.245 0.500 0.472 x8
5 Nd 0.250 0.250 0.500 x4
6 Tm 0.000 0.500 0.000 x4



4.
A geometry-optimized BaZr2Be2 structure, computed with PBE.

## Properties
* spin magnetization: 0.000 μB per formula unit
* crystal system: tetragonal
* formation energy from the elements: 440 meV per atom
* E: -4.855 eV/atom
* Fermi-level density of states: 7.1 states/eV/f.u.

Unit cell a=4.260 b=4.260 c=13.800 alpha=90.00 beta=90.00 gamma=90.00
Space group I4/mmm (No. 139)
Unique sites:
1 Ba 0.000 0.000 0.000 x2
2 Zr 0.000 0.500 0.250 x4
3 Be 0.000 0.000 0.367 x4



5.
A geometry-optimized La2InBi4 structure, computed with PBE.

## Properties
* spin magnetization: 0.000 μB per formula unit
* crystal system: tetragonal
* formation energy from the elements: -118 meV per atom
* E: -4.135 eV/atom
* Fermi-level density of states: 7.5 states/eV/f.u.

Unit cell a=5.732 b=5.732 c=16.450 alpha=90.00 beta=90.00 gamma=90.00
Space group I4/mmm (No. 139)
Unique sites:
1 La 0.000 0.000 0.117 x4
2 In 0.000 0.000 0.500 x2
3 Bi 0.000 0.000 0.311 x4
4 Bi 0.000 0.500 0.000 x4



6.
A geometry-optimized ZrAsBr2 structure, computed with PBE.

## Properties
* spin magnetization: 0.000 μB per formula unit
* crystal system: orthorhombic
* E_form (uncorrected): -0.691 eV per atom
* E: -4.827 eV/atom
* Fermi-level density of states: 3.0 states/eV/f.u.

Unit cell a=3.426 b=4.402 c=15.960 alpha=90.00 beta=90.00 gamma=90.00
Space group Immm (No. 71)
Unique sites:
1 Zr 0.000 0.000 0.000 x2
2 As 0.000 0.000 0.500 x2
3 Br 0.000 0.500 0.355 x4



7.
A geometry-optimized TiRh3Se structure, computed with PBE.

## Properties
* spin magnetization: 0.000 μB per formula unit
* crystal system: cubic
* E_form (uncorrected): 0.693 eV per atom
* E: -5.994 eV/atom
* Fermi-level density of states: 6.4 states/eV/f.u.

Unit cell a=4.567 b=4.567 c=4.567 alpha=90.00 beta=90.00 gamma=90.00
Space group Pm-3m (No. 221)
Unique sites:
1 Ti 0.000 0.000 0.000 x1
2 Rh 0.000 0.000 0.500 x3
3 Se 0.500 0.500 0.500 x1



8.
A geometry-optimized Cs2MgBiCl6 structure, computed with PBE.

## Properties
* spin magnetization: 1.000 μB per formula unit
* crystal system: tetragonal
* E_form (uncorrected): -1.545 eV per atom
* E: -3.371 eV/atom
* Fermi-level density of states: 0.0 states/eV/f.u.

Unit cell a=7.548 b=7.548 c=11.731 alpha=90.00 beta=90.00 gamma=90.00
Space group I4/mmm (No. 139)
Unique sites:
1 Cs 0.000 0.500 0.250 x4
2 Mg 0.000 0.000 0.000 x2
3 Bi 0.000 0.000 0.500 x2
4 Cl 0.000 0.000 0.206 x4
5 Cl 0.244 0.244 0.000 x8



9.
A geometry-optimized ErZn2Au2 structure, computed with PBE.

## Properties
* spin magnetization: 0.000 μB per formula unit
* crystal system: orthorhombic
* formation energy from the elements: -493 meV per atom
* E: -3.226 eV/atom
* Fermi-level density of states: 2.5 states/eV/f.u.

Unit cell a=4.699 b=6.274 c=6.384 alpha=90.00 beta=90.00 gamma=90.00
Space group Immm (No. 71)
Unique sites:
1 Er 0.000 0.000 0.000 x2
2 Zn 0.000 0.193 0.500 x4
3 Au 0.000 0.500 0.213 x4



10.
A geometry-optimized BaPuP structure, computed with PBE.

## Properties
* spin magnetization: 6.152 μB per formula unit
* crystal system: monoclinic
* formation energy from the elements: -709 meV per atom
* E: -7.930 eV/atom
* Fermi-level density of states: 5.6 states/eV/f.u.

Unit cell a=6.144 b=6.144 c=10.916 alpha=90.00 beta=90.12 gamma=90.00
Space group C2/m (No. 12)
Unique sites:
1 Ba 0.249 0.000 0.192 x4
2 Pu 0.000 0.250 0.500 x4
3 P 0.249 0.500 0.320 x4



11.
A geometry-optimized HoPu4Mg structure, computed with PBE.

## Properties
* spin magnetization: 23.346 μB per formula unit
* crystal system: cubic
* formation energy from the elements: 300 meV per atom
* E: -10.283 eV/atom
* Fermi-level density of states: 26.0 states/eV/f.u.

Unit cell a=8.687 b=8.687 c=8.687 alpha=90.00 beta=90.00 gamma=90.00
Space group F-43m (No. 216)
Unique sites:
1 Ho 0.000 0.000 0.000 x4
2 Pu 0.125 0.125 0.375 x16
3 Mg 0.250 0.250 0.750 x4



12.
A geometry-optimized TcAs2Br structure, computed with PBE.

## Properties
* spin magnetization: 0.003 μB per formula unit
* crystal system: tetragonal
* E_form (uncorrected): 0.234 eV per atom
* E: -5.101 eV/atom
* Fermi-level density of states: 3.5 states/eV/f.u.

Unit cell a=3.314 b=3.314 c=7.707 alpha=90.00 beta=90.00 gamma=90.00
Space group P4mm (No. 99)
Unique sites:
1 Tc 0.000 0.000 0.000 x1
2 As 0.000 0.000 0.332 x1
3 As 0.500 0.500 0.148 x1
4 Br 0.500 0.500 0.755 x1



13.
A geometry-optimized TmScInCo structure, computed with PBE.

## Properties
* spin magnetization: 0.206 μB per formula unit
* crystal system: tetragonal
* formation energy from the elements: -376 meV per atom
* E: -5.538 eV/atom
* Fermi-level density of states: 2.8 states/eV/f.u.

Unit cell a=3.239 b=3.239 c=7.744 alpha=90.00 beta=90.00 gamma=90.00
Space group P4mm (No. 99)
Unique sites:
1 Tm 0.000 0.000 0.000 x1
2 Sc 0.000 0.000 0.595 x1
3 In 0.500 0.500 0.311 x1
4 Co 0.500 0.500 0.779 x1



14.
A geometry-optimized AlZn2Ni3 structure, computed with PBE.

## Properties
* spin magnetization: 0.000 μB per formula unit
* crystal system: tetragonal
* formation energy from the elements: -380 meV per atom
* E: -4.319 eV/atom
* Fermi-level density of states: 3.4 states/eV/f.u.

Unit cell a=2.776 b=2.776 c=9.416 alpha=90.00 beta=90.00 gamma=90.00
Space group P4/mmm (No. 123)
Unique sites:
1 Al 0.000 0.000 0.000 x1
2 Zn 0.000 0.000 0.332 x2
3 Ni 0.500 0.500 0.160 x2
4 Ni 0.500 0.500 0.500 x1



15.
A geometry-optimized Sc2BiC structure, computed with PBE.

## Properties
* spin magnetization: 0.000 μB per formula unit
* crystal system: monoclinic
* formation energy from the elements: -647 meV per atom
* E: -7.089 eV/atom
* Fermi-level density of states: 1.7 states/eV/f.u.

Unit cell a=5.977 b=3.467 c=7.652 alpha=90.00 beta=104.95 gamma=90.00
Space group C2/m (No. 12)
Unique sites:
1 Sc 0.219 0.000 0.159 x4
2 Bi 0.000 0.000 0.500 x2
3 C 0.000 0.500 0.000 x2



16.
A geometry-optimized KScSF2 structure, computed with PBE.

## Properties
* spin magnetization: 0.000 μB per formula unit
* crystal system: tetragonal
* E_form (uncorrected): -0.964 eV per atom
* E: -4.024 eV/atom
* Fermi-level density of states: 4.6 states/eV/f.u.

Unit cell a=4.262 b=4.262 c=6.537 alpha=90.00 beta=90.00 gamma=90.00
Space group P4/mmm (No. 123)
Unique sites:
1 K 0.000 0.000 0.000 x1
2 Sc 0.000 0.000 0.500 x1
3 S 0.500 0.500 0.500 x1
4 F 0.000 0.500 0.000 x2



17.
A geometry-optimized CrTe2P structure, computed with PBE.

## Properties
* spin magnetization: 2.757 μB per formula unit
* crystal system: monoclinic
* E_form (uncorrected): 0.154 eV per atom
* E: -5.175 eV/atom
* Fermi-level density of states: 2.4 states/eV/f.u.

Unit cell a=4.450 b=4.451 c=4.806 alpha=90.00 beta=108.34 gamma=90.00
Space group Pm (No. 6)
Unique sites:
1 Cr 0.000 0.000 0.000 x1
2 Te 0.254 0.500 0.779 x1
3 Te 0.595 0.000 0.414 x1
4 P 0.853 0.500 0.113 x1



18.
A geometry-optimized NdThPd structure, computed with PBE.

## Properties
* spin magnetization: 0.000 μB per formula unit
* crystal system: orthorhombic
* formation energy from the elements: -422 meV per atom
* E: -6.215 eV/atom
* Fermi-level density of states: 3.4 states/eV/f.u.

Unit cell a=3.817 b=5.413 c=8.256 alpha=90.00 beta=90.00 gamma=90.00
Space group Pmmn (No. 59, origin choice 2)
Unique sites:
1 Nd 0.250 0.250 0.142 x2
2 Th 0.250 0.750 0.466 x2
3 Pd 0.250 0.250 0.792 x2



19.
A geometry-optimized BeSbI2 structure, computed with PBE.

## Properties
* spin magnetization: 3.000 μB per formula unit
* crystal system: tetragonal
* E_form (uncorrected): 0.383 eV per atom
* E: -2.354 eV/atom
* Fermi-level density of states: 0.0 states/eV/f.u.

Unit cell a=7.774 b=7.774 c=10.098 alpha=90.00 beta=90.00 gamma=90.00
Space group I-42d (No. 122)
Unique sites:
1 Be 0.000 0.000 0.000 x4
2 Sb 0.000 0.000 0.500 x4
3 I 0.110 0.250 0.125 x8